(1)
First-principles (PBE) data for an optimized crystal structure of Er5Tl2Os2, as listed in Alexandria via LeMat-Bulk.

a = 9.058 Å, b = 9.058 Å, c = 7.500 Å
α = 90.00°, β = 90.00°, γ = 48.53°
Fractional coordinates of all 18 atoms:
Er 0.000 0.000 0.000
Er 0.063 0.703 0.678
Er 0.203 0.563 0.178
Er 0.297 0.937 0.678
Er 0.437 0.797 0.178
Er 0.500 0.500 0.500
Er 0.563 0.203 0.822
Er 0.703 0.063 0.322
Er 0.797 0.437 0.822
Er 0.937 0.297 0.322
Tl 0.224 0.224 0.000
Tl 0.276 0.276 0.500
Tl 0.724 0.724 0.500
Tl 0.776 0.776 0.000
Os 0.117 0.883 0.379
Os 0.383 0.617 0.879
Os 0.617 0.383 0.121
Os 0.883 0.117 0.621

energy of formation from the pure elements	-0.33	eV per atom
space group	Cmce
N(E_F)	0.58	states/eV/atom
crystal system	orthorhombic
raw total energy	-5.8827	eV/atom
calculated volume	25.62	A^3/atom

(2)
First-principles (PBE) data for an optimized crystal structure of Er12Tl6Os, as listed in Alexandria via LeMat-Bulk.

a = 8.265 Å, b = 8.265 Å, c = 8.265 Å
α = 93.77°, β = 93.77°, γ = 93.77°
Fractional coordinates of all 19 atoms:
Er 0.046 0.928 0.706
Er 0.072 0.294 0.954
Er 0.187 0.407 0.527
Er 0.294 0.954 0.072
Er 0.407 0.527 0.187
Er 0.473 0.813 0.593
Er 0.527 0.187 0.407
Er 0.593 0.473 0.813
Er 0.706 0.046 0.928
Er 0.813 0.593 0.473
Er 0.928 0.706 0.046
Er 0.954 0.072 0.294
Tl 0.151 0.772 0.367
Tl 0.228 0.633 0.849
Tl 0.367 0.151 0.772
Tl 0.633 0.849 0.228
Tl 0.772 0.367 0.151
Tl 0.849 0.228 0.633
Os 0.500 0.500 0.500

energy of formation from the pure elements	-0.13	eV per atom
space group	R-3
N(E_F)	0.86	states/eV/atom
crystal system	trigonal
raw total energy	-4.3476	eV/atom
calculated volume	29.51	A^3/atom

(3)
First-principles (PBE) data for an optimized crystal structure of Er5TlOs, as listed in Alexandria via LeMat-Bulk.

a = 5.931 Å, b = 5.931 Å, c = 11.689 Å
α = 102.47°, β = 102.47°, γ = 77.75°
Fractional coordinates of all 14 atoms:
Er 0.003 0.997 0.750
Er 0.083 0.418 0.625
Er 0.208 0.547 0.938
Er 0.418 0.083 0.125
Er 0.453 0.792 0.562
Er 0.547 0.208 0.438
Er 0.582 0.917 0.875
Er 0.792 0.453 0.062
Er 0.917 0.582 0.375
Er 0.997 0.003 0.250
Tl 0.405 0.595 0.250
Tl 0.595 0.405 0.750
Os 0.000 0.000 0.000
Os 0.000 0.000 0.500

energy of formation from the pure elements	-0.09	eV per atom
space group	C2/c
N(E_F)	0.92	states/eV/atom
crystal system	monoclinic
raw total energy	-5.2923	eV/atom
calculated volume	27.58	A^3/atom